No. 1
This record from the Alexandria database describes crystalline Hg8Bi at its relaxed geometry. The functional is PBE-GGA.

a b c (Å): 10.6613 13.5540 8.3008
angles (deg): 64.90 30.77 39.24
With the nearest neighbours (Å) after each atom.
Fractional positions:
1 Hg 0.3792 0.3137 0.9633  6 Hg 3.07-3.18
2 Hg 0.0131 0.6596 0.3261  5 Hg 3.07-3.12, 1 Bi 3.18
3 Hg 0.6208 0.6863 0.0367  6 Hg 3.07-3.18
4 Hg 0.6394 0.0053 0.6915  5 Hg 2.99-3.14, 1 Bi 3.12
5 Hg 0.3632 0.6521 0.6460  5 Hg 3.01-3.18, 1 Bi 3.13
6 Hg 0.9869 0.3404 0.6739  5 Hg 3.07-3.12, 1 Bi 3.18
7 Bi 0.0000 0.0000 0.0000  6 Hg 3.12-3.18
8 Hg 0.3606 0.9947 0.3085  5 Hg 2.99-3.14, 1 Bi 3.12
9 Hg 0.6368 0.3479 0.3540  5 Hg 3.01-3.18, 1 Bi 3.13

Computed properties:
* space-group type: P-1 (2)
* M_tot: 0.00 μB per cell
* E_form: 36 meV/atom
* volume: 258.5 Å³/cell

---

No. 2
This record from the Alexandria database describes crystalline CaMg2TlCo at its relaxed geometry. The functional is PBE-GGA.

a b c (Å): 4.8904 4.8904 5.0344
angles (deg): 90.00 90.00 90.00
With the nearest neighbours (Å) after each atom.
Fractional positions:
1 Mg 0.5000 0.0000 0.0000  2 Co 2.45
2 Tl 0.0000 0.0000 0.5000  2 Co 2.52
3 Co 0.0000 0.0000 0.0000  4 Mg 2.45, 2 Tl 2.52
4 Ca 0.5000 0.5000 0.5000  4 Tl 3.46, 8 Mg 3.51
5 Mg 0.0000 0.5000 0.0000  2 Co 2.45

Computed properties:
* space-group type: P4/mmm (123)
* M_tot: 0.05 μB per cell
* E_form: 26 meV/atom
* volume: 120.4 Å³/cell

---

No. 3
This record from the Alexandria database describes crystalline Sc2In2Tc at its relaxed geometry. The functional is PBE-GGA.

a b c (Å): 7.3402 7.3402 3.9318
angles (deg): 90.00 90.00 90.00
With the nearest neighbours (Å) after each atom.
Fractional positions:
1 Sc 0.6731 0.8269 0.5000  6 In 2.79-3.02
2 Sc 0.3269 0.1731 0.5000  6 In 2.79-3.02
3 In 0.1366 0.3634 0.0000  6 Sc 2.79-3.02, 1 In 2.84, 2 Tc 2.85
4 In 0.3634 0.8634 0.0000  6 Sc 2.79-3.02, 1 In 2.84, 2 Tc 2.85
5 In 0.8634 0.6366 0.0000  6 Sc 2.79-3.02, 1 In 2.84, 2 Tc 2.85
6 Tc 0.0000 0.0000 0.0000  4 In 2.85
7 Sc 0.8269 0.3269 0.5000  6 In 2.79-3.02
8 Sc 0.1731 0.6731 0.5000  6 In 2.79-3.02
9 Tc 0.5000 0.5000 0.0000  4 In 2.85
10 In 0.6366 0.1366 0.0000  6 Sc 2.79-3.02, 1 In 2.84, 2 Tc 2.85

Computed properties:
* space-group type: P4/mbm (127)
* M_tot: 0.00 μB per cell
* E_form: -17 meV/atom
* volume: 211.8 Å³/cell

---

No. 4
This record from the Alexandria database describes crystalline Na3ZrSc2O6 at its relaxed geometry. The functional is PBE-GGA.

a b c (Å): 5.5369 5.5369 5.8453
angles (deg): 99.08 99.08 120.00
With the nearest neighbours (Å) after each atom.
Fractional positions:
1 O 0.2631 0.2631 0.7898  1 Zr 2.18, 2 Sc 2.18
2 Na 0.1689 0.8311 0.5000  6 O 2.44-2.46
3 O 0.4031 0.0699 0.2099  1 Zr 2.18, 2 Sc 2.18, 1 Na 2.44
4 Na 0.8311 0.1689 0.5000  6 O 2.44-2.46
5 O 0.0699 0.4031 0.2099  1 Zr 2.18, 2 Sc 2.18, 1 Na 2.44
6 O 0.9301 0.5969 0.7901  1 Zr 2.18, 2 Sc 2.18, 1 Na 2.44
7 Na 0.5000 0.5000 0.5000  6 O 2.45
8 Zr 0.0000 0.0000 0.0000  6 O 2.18
9 O 0.7369 0.7369 0.2102  1 Zr 2.18, 2 Sc 2.18
10 Sc 0.6665 0.3335 0.0000  6 O 2.18
11 O 0.5969 0.9301 0.7901  1 Zr 2.18, 2 Sc 2.18, 1 Na 2.44
12 Sc 0.3335 0.6665 0.0000  6 O 2.18

Computed properties:
* space-group type: C2/m (12)
* M_tot: 0.00 μB per cell
* volume: 147.3 Å³/cell
* formation energy (no corrections): -2.68 eV per atom

---

No. 5
This record from the Alexandria database describes crystalline Pr3ErRh3 at its relaxed geometry. The functional is PBE-GGA.

a b c (Å): 7.0401 7.0401 7.1991
angles (deg): 90.51 90.51 96.86
With the nearest neighbours (Å) after each atom.
Fractional positions:
1 Rh 0.0654 0.0654 0.8070  2 Er 2.80-2.86, 5 Pr 2.84-3.07, 1 Rh 3.05
2 Pr 0.7471 0.2529 0.0000  6 Rh 3.05-3.09
3 Er 0.7638 0.7638 0.8705  4 Rh 2.75-2.86
4 Pr 0.3338 0.3338 0.6266  3 Rh 2.84-2.94
5 Pr 0.8210 0.1790 0.5000  6 Rh 2.90-2.97
6 Rh 0.9346 0.9346 0.1930  2 Er 2.80-2.86, 5 Pr 2.84-3.07, 1 Rh 3.05
7 Pr 0.1790 0.8210 0.5000  6 Rh 2.90-2.97
8 Rh 0.4968 0.0149 0.2763  1 Er 2.75, 4 Pr 2.90-3.05
9 Er 0.2362 0.2362 0.1295  4 Rh 2.75-2.86
10 Rh 0.0149 0.4968 0.2763  1 Er 2.75, 4 Pr 2.90-3.05
11 Rh 0.9851 0.5032 0.7237  1 Er 2.75, 4 Pr 2.90-3.05
12 Rh 0.5032 0.9851 0.7237  1 Er 2.75, 4 Pr 2.90-3.05
13 Pr 0.2529 0.7471 0.0000  6 Rh 3.05-3.09
14 Pr 0.6662 0.6662 0.3734  3 Rh 2.84-2.94

Computed properties:
* space-group type: C2/m (12)
* M_tot: 0.00 μB per cell
* E_form: -564 meV/atom
* volume: 354.2 Å³/cell

---

No. 6
This record from the Alexandria database describes crystalline Cu2ReAg at its relaxed geometry. The functional is PBE-GGA.

a b c (Å): 2.6186 4.6684 4.6684
angles (deg): 90.00 90.00 90.00
With the nearest neighbours (Å) after each atom.
Fractional positions:
1 Ag 0.5000 0.0000 0.5000  2 Ag 2.62, 8 Cu 2.68
2 Re 0.5000 0.5000 0.0000  2 Re 2.62, 8 Cu 2.68
3 Cu 0.0000 0.0000 0.0000  2 Cu 2.62, 4 Re 2.68, 4 Ag 2.68
4 Cu 0.0000 0.5000 0.5000  2 Cu 2.62, 4 Re 2.68, 4 Ag 2.68

Computed properties:
* space-group type: P4/mmm (123)
* M_tot: 0.58 μB per cell
* E_form: 434 meV/atom
* volume: 57.1 Å³/cell
* ΔE to the lowest computed polymorph: 0.1715 eV/atom

---

No. 7
This record from the Alexandria database describes crystalline Ho4CdCu2 at its relaxed geometry. The functional is PBE-GGA.

a b c (Å): 4.9849 4.9849 8.4262
angles (deg): 72.79 72.79 60.00
With the nearest neighbours (Å) after each atom.
Fractional positions:
1 Cu 0.7460 0.7460 0.7620  8 Ho 2.90-3.14
2 Ho 0.6156 0.6156 0.1533  4 Cu 2.96-3.10, 3 Cd 3.12
3 Ho 0.1318 0.1318 0.6044  4 Cu 2.90-3.14, 1 Cd 3.13
4 Cu 0.2540 0.2540 0.2380  8 Ho 2.90-3.14
5 Ho 0.3844 0.3844 0.8467  4 Cu 2.96-3.10, 3 Cd 3.12
6 Ho 0.8682 0.8682 0.3956  4 Cu 2.90-3.14, 1 Cd 3.13
7 Cd 0.0000 0.0000 0.0000  8 Ho 3.12-3.13, 6 Cu 3.44

Computed properties:
* space-group type: R-3m (166)
* M_tot: 0.00 μB per cell
* E_form: -123 meV/atom
* volume: 170.4 Å³/cell
* ΔE to the lowest computed polymorph: 0.0000 eV/atom

---

No. 8
This record from the Alexandria database describes crystalline CdReSbPt2 at its relaxed geometry. The functional is PBE-GGA.

a b c (Å): 4.8520 5.1620 4.8520
angles (deg): 90.00 90.00 90.00
With the nearest neighbours (Å) after each atom.
Fractional positions:
1 Pt 0.5000 0.0000 0.0000  2 Re 2.43
2 Re 0.0000 0.0000 0.0000  4 Pt 2.43, 2 Cd 2.58
3 Sb 0.5000 0.5000 0.5000  4 Cd 3.43, 8 Pt 3.54
4 Pt 0.0000 0.0000 0.5000  2 Re 2.43
5 Cd 0.0000 0.5000 0.0000  2 Re 2.58

Computed properties:
* space-group type: P4/mmm (123)
* M_tot: 0.00 μB per cell
* volume: 121.5 Å³/cell
* formation energy (no corrections): 1.03 eV per atom

---

No. 9
This record from the Alexandria database describes crystalline CsSrGe2 at its relaxed geometry. The functional is PBE-GGA.

a b c (Å): 5.5457 5.5457 11.6793
angles (deg): 76.27 76.27 90.00
With the nearest neighbours (Å) after each atom.
Fractional positions:
1 Cs 0.0000 0.0000 0.0000  4 Sr 3.92, 8 Ge 4.14-4.15
2 Ge 0.3754 0.1250 0.2500  2 Ge 2.77, 2 Sr 3.08
3 Sr 0.5000 0.5000 0.0000  4 Ge 3.08
4 Ge 0.8750 0.6254 0.7500  2 Ge 2.77, 2 Sr 3.08
5 Ge 0.3750 0.6246 0.7500  2 Ge 2.77, 2 Sr 3.08
6 Ge 0.3746 0.6250 0.2500  2 Ge 2.77, 2 Sr 3.08
7 Sr 0.2500 0.7500 0.5000  4 Ge 3.08
8 Cs 0.7500 0.2500 0.5000  4 Sr 3.92, 8 Ge 4.14-4.15

Computed properties:
* space-group type: I4_1/amd (141)
* M_tot: 0.00 μB per cell
* E_form: 147 meV/atom
* volume: 338.3 Å³/cell
* ΔE to the lowest computed polymorph: 0.0000 eV/atom

---

No. 10
This record from the Alexandria database describes crystalline Mn4Sb5 at its relaxed geometry. The functional is PBE-GGA.

a b c (Å): 8.4727 8.4727 6.0846
angles (deg): 90.00 90.00 120.00
With the nearest neighbours (Å) after each atom.
Fractional positions:
1 Sb 0.3333 0.6667 0.0000  6 Mn 3.03, 2 Sb 3.04
2 Sb 0.7317 0.7317 0.7500  5 Mn 2.74-2.92
3 Sb 0.7317 0.0000 0.2500  5 Mn 2.74-2.92
4 Mn 0.0000 0.3891 0.2500  9 Sb 2.90-3.21
5 Mn 0.6109 0.6109 0.2500  9 Sb 2.90-3.21
6 Mn 0.0000 0.0000 0.0000  6 Sb 2.74, 2 Mn 3.04
7 Sb 0.2683 0.2683 0.2500  5 Mn 2.74-2.92
8 Sb 0.2683 0.0000 0.7500  5 Mn 2.74-2.92
9 Sb 0.6667 0.3333 0.5000  6 Mn 3.03, 2 Sb 3.04
10 Mn 0.3891 0.3891 0.7500  9 Sb 2.90-3.21
11 Sb 0.3333 0.6667 0.5000  6 Mn 3.03, 2 Sb 3.04
12 Mn 0.0000 0.6109 0.7500  9 Sb 2.90-3.21
13 Mn 0.0000 0.0000 0.5000  6 Sb 2.74, 2 Mn 3.04
14 Sb 0.6667 0.3333 0.0000  6 Mn 3.03, 2 Sb 3.04
15 Sb 0.0000 0.2683 0.7500  5 Mn 2.74-2.92
16 Mn 0.6109 0.0000 0.7500  9 Sb 2.90-3.21
17 Sb 0.0000 0.7317 0.2500  5 Mn 2.74-2.92
18 Mn 0.3891 0.0000 0.2500  9 Sb 2.90-3.21

Computed properties:
* space-group type: P6_3/mcm (193)
* M_tot: 28.47 μB per cell
* volume: 378.3 Å³/cell
* formation energy (no corrections): 0.25 eV per atom
* ΔE to the lowest computed polymorph: 0.0000 eV/atom

---

No. 11
This record from the Alexandria database describes crystalline Cd2SiNi at its relaxed geometry. The functional is PBE-GGA.

a b c (Å): 2.9871 2.9871 7.7535
angles (deg): 90.00 90.00 90.00
With the nearest neighbours (Å) after each atom.
Fractional positions:
1 Si 0.5000 0.5000 0.6833  4 Ni 2.37
2 Cd 0.5000 0.5000 0.2925  4 Ni 2.88, 8 Cd 2.99-3.22, 1 Si 3.03
3 Ni 0.0000 0.0000 0.5455  4 Si 2.37
4 Cd 0.0000 0.0000 0.9788  8 Cd 2.99-3.22, 4 Si 3.12

Computed properties:
* space-group type: P4mm (99)
* M_tot: 0.00 μB per cell
* volume: 69.2 Å³/cell
* formation energy (no corrections): 0.01 eV per atom

---

No. 12
This record from the Alexandria database describes crystalline Pm8InSi2 at its relaxed geometry. The functional is PBE-GGA.

a b c (Å): 5.6814 8.1852 8.1852
angles (deg): 114.91 98.98 98.98
With the nearest neighbours (Å) after each atom.
Fractional positions:
1 Si 0.0000 0.6919 0.3081  8 Pm 2.97-3.12
2 Pm 0.9244 0.6818 0.9266  2 Si 2.99-3.05, 1 Pm 3.30
3 In 0.5000 0.0000 0.0000  12 Pm 3.37-3.75
4 Si 0.0000 0.3081 0.6919  8 Pm 2.97-3.12
5 Pm 0.5000 0.7558 0.2442  2 Si 2.97
6 Pm 0.7036 0.4051 0.4051  2 Si 3.12, 2 Pm 3.22-3.30, 1 In 3.42
7 Pm 0.0756 0.0734 0.3182  2 Si 2.99-3.05, 1 Pm 3.30
8 Pm 0.5000 0.2442 0.7558  2 Si 2.97
9 Pm 0.2964 0.5949 0.5949  2 Si 3.12, 2 Pm 3.22-3.30, 1 In 3.42
10 Pm 0.0756 0.3182 0.0734  2 Si 2.99-3.05, 1 Pm 3.30
11 Pm 0.9244 0.9266 0.6818  2 Si 2.99-3.05, 1 Pm 3.30

Computed properties:
* space-group type: C2/m (12)
* M_tot: 0.00 μB per cell
* volume: 330.4 Å³/cell
* formation energy (no corrections): -0.29 eV per atom

---

Number 1: DOS(E_F) 1.95 states/eV/cell. Number 2: DOS(E_F) 3.31 states/eV/cell. Number 3: DOS(E_F) 8.89 states/eV/cell. Number 4: DOS(E_F) 3.52 states/eV/cell. Number 5: DOS(E_F) 9.57 states/eV/cell. Number 6: DOS(E_F) 2.14 states/eV/cell. Number 7: DOS(E_F) 6.37 states/eV/cell. Number 8: DOS(E_F) 4.73 states/eV/cell. Number 9: DOS(E_F) 6.27 states/eV/cell. Number 10: DOS(E_F) 9.42 states/eV/cell. Number 11: DOS(E_F) 1.61 states/eV/cell. Number 12: DOS(E_F) 12.67 states/eV/cell.